[1]
Here is a geometry-optimized Ga3SiP structure from Alexandria via LeMat-Bulk. Energies are from GGA-PBE.

abc: 4.7456 4.7456 4.7456
angles: 90.00 90.00 90.00
Element x y z (fractional)
P1 0.5000 0.5000 0.5000
Si1 0.0000 0.0000 0.0000
Ga1 0.0000 0.5000 0.0000
Ga2 0.0000 0.0000 0.5000
Ga3 0.5000 0.0000 0.0000

Summary:
**Size of the total moment**: 0.000 μB/f.u.
**DFT total energy**: -3.47 eV/atom

[2]
Here is a geometry-optimized GaSiP2 structure from Alexandria via LeMat-Bulk. Energies are from GGA-PBE.

abc: 5.8277 7.2908 7.4630
angles: 90.00 90.00 90.00
Element x y z (fractional)
Ga1 0.9906 0.0878 0.1254
Ga2 0.4906 0.9122 0.8746
Ga3 0.4906 0.4122 0.6254
Ga4 0.9906 0.5878 0.3746
Si1 0.9854 0.5833 0.8756
Si2 0.4854 0.9167 0.3756
Si3 0.4854 0.4167 0.1244
Si4 0.9854 0.0833 0.6244
P1 0.3775 0.5916 0.8818
P2 0.8775 0.4084 0.1182
P3 0.8775 0.9084 0.3818
P4 0.3775 0.0916 0.6182
P5 0.3995 0.5967 0.3668
P6 0.3995 0.0967 0.1332
P7 0.8995 0.9033 0.8668
P8 0.8995 0.4033 0.6332

Summary:
**Size of the total moment**: 0.000 μB/f.u.
**DFT total energy**: -4.94 eV/atom

[3]
Here is a geometry-optimized Ga2SiSnP structure from Alexandria via LeMat-Bulk. Energies are from GGA-PBE.

abc: 4.7158 5.2735 4.7158
angles: 90.00 90.00 90.00
Element x y z (fractional)
P1 0.5000 0.5000 0.5000
Si1 0.0000 0.0000 0.0000
Sn1 0.0000 0.5000 0.0000
Ga1 0.0000 0.0000 0.5000
Ga2 0.5000 0.0000 0.0000

Summary:
**Size of the total moment**: 0.000 μB/f.u.
**DFT total energy**: -3.63 eV/atom

[4]
Here is a geometry-optimized Sr2GaSiP structure from Alexandria via LeMat-Bulk. Energies are from GGA-PBE.

abc: 4.2294 7.5126 9.3887
angles: 107.61 90.00 90.00
Element x y z (fractional)
Sr1 0.7500 0.8173 0.5983
Sr2 0.7500 0.7702 0.0353
Sr3 0.2500 0.1827 0.4017
Sr4 0.2500 0.2298 0.9647
Ga1 0.2500 0.5002 0.7339
Ga2 0.7500 0.4998 0.2661
Si1 0.2500 0.6839 0.3011
Si2 0.7500 0.3161 0.6989
P1 0.2500 0.8225 0.8230
P2 0.7500 0.1775 0.1770

Summary:
**Size of the total moment**: 0.000 μB/f.u.
**DFT total energy**: -4.09 eV/atom

[5]
Here is a geometry-optimized Ti2GaSiP structure from Alexandria via LeMat-Bulk. Energies are from GGA-PBE.

abc: 4.8175 4.3235 4.8175
angles: 90.00 90.00 90.00
Element x y z (fractional)
P1 0.0000 0.5000 0.0000
Si1 0.5000 0.5000 0.5000
Ga1 0.0000 0.0000 0.0000
Ti1 0.0000 0.0000 0.5000
Ti2 0.5000 0.0000 0.0000

Summary:
**Size of the total moment**: 1.211 μB/f.u.
**DFT total energy**: -5.11 eV/atom

[6]
Here is a geometry-optimized GaSiP2W structure from Alexandria via LeMat-Bulk. Energies are from GGA-PBE.

abc: 4.6583 5.0198 4.6583
angles: 90.00 90.00 90.00
Element x y z (fractional)
P1 0.0000 0.0000 0.5000
P2 0.5000 0.0000 0.0000
Si1 0.5000 0.5000 0.5000
Ga1 0.0000 0.5000 0.0000
W1 0.0000 0.0000 0.0000

Summary:
**Size of the total moment**: 0.000 μB/f.u.
**DFT total energy**: -5.67 eV/atom

[7]
Here is a geometry-optimized SmGaP2 structure from Alexandria via LeMat-Bulk. Energies are from GGA-PBE.

abc: 4.4624 4.4624 7.5188
angles: 72.74 72.74 60.00
Element x y z (fractional)
P1 0.1024 0.1024 0.6928
P2 0.8976 0.8976 0.3072
Ga1 0.0000 0.0000 0.0000
Sm1 0.5000 0.5000 0.5000

Summary:
**ΔE_f**: -46 kJ/mol of atoms
**Size of the total moment**: 0.000 μB/f.u.
**DFT total energy**: -5.12 eV/atom

[8]
Here is a geometry-optimized SmGaP structure from Alexandria via LeMat-Bulk. Energies are from GGA-PBE.

abc: 4.0050 4.0050 10.2900
angles: 101.22 101.22 90.00
Element x y z (fractional)
Ga1 0.0631 0.0631 0.1261
Ga2 0.9369 0.9369 0.8739
Sm1 0.6743 0.6743 0.3487
Sm2 0.3257 0.3257 0.6513
P1 0.8170 0.8170 0.6340
P2 0.1830 0.1830 0.3660

Summary:
**ΔE_f**: -64 kJ/mol of atoms
**Size of the total moment**: 0.000 μB/f.u.
**DFT total energy**: -5.04 eV/atom